Na3SeS PBE relaxed; formation energy (no corrections) = -0.55 eV/atom
1.0
5.406 0.000 0.000
0.000 5.406 0.000
0.000 0.000 5.406
Na Se S
3 1 1
direct
0.000 0.500 0.000 Na
0.500 0.000 0.000 Na
0.000 0.000 0.500 Na
0.000 0.000 0.000 Se
0.500 0.500 0.500 S